## Sr2PIr (PBE)

Data for an optimized crystal structure of Sr2PIr.

Results
N(E_F) in states/eV/cell: 1.6
Spin magnetization in μB per formula unit: 0.00
DFT formation energy in eV/atom: -0.23
SG: I4/mmm

```
Sr2PIr
1.0
-3.457 2.200 3.415
-0.815 4.706 -2.376
-0.465 -4.796 -2.288
Sr P Ir
2 1 1
direct
0.750 0.250 0.500
0.250 0.750 0.500
0.000 0.000 0.000
0.500 0.500 0.000
```